1.
TmPuPt: optimized geometry, PBE-GGA.

Structure (POSCAR):
```
TmPuPt
1.0
4.839 0.000 0.000
2.420 4.191 0.000
2.420 1.397 3.951
Pt Pu Tm
1 1 1
Direct
0.250 0.250 0.250
0.500 0.500 0.500
0.000 0.000 0.000
```

Summary:
The crystal system is cubic. The formation energy from the elements is -0.617 eV per atom. For the density of states at the Fermi level, the calculation gives 2.645 states/eV/atom. The distance to the lowest polymorph of the same formula is 0.000 eV/atom.



2.
RbBTeN2: optimized geometry, PBE-GGA.

Structure (POSCAR):
```
RbBTeN2
1.0
5.081 0.000 0.000
0.000 5.081 0.000
0.000 0.000 7.431
N B Rb Te
2 1 1 1
Direct
0.000 0.500 0.000
0.500 0.000 0.000
0.500 0.500 0.500
0.000 0.000 0.000
0.000 0.000 0.500
```

Summary:
The crystal system is tetragonal. For the density of states at the Fermi level, the calculation gives 1.408 states/eV/atom. The distance to the lowest polymorph of the same formula is 1.300 eV/atom. The calculation puts the energy relative to the elements, uncorrected at 16.1 eV/f.u.



3.
Ac2Si4AgAu3: optimized geometry, PBE-GGA.

Structure (POSCAR):
```
Ac2Si4AgAu3
1.0
-0.606 2.651 -3.583
-0.231 -3.630 -2.646
-10.275 -0.399 1.443
Ac Au Si Ag
2 3 4 1
Direct
0.000 0.500 0.753
0.500 0.000 0.247
0.000 0.500 0.120
0.000 0.000 0.500
0.500 0.000 0.880
0.500 0.000 0.634
0.000 0.000 0.000
0.500 0.500 0.000
0.000 0.500 0.366
0.500 0.500 0.500
```

Summary:
The crystal system is tetragonal. For the density of states at the Fermi level, the calculation gives 0.250 states/eV/atom. The calculation puts the energy relative to the elements, uncorrected at -5.4 eV/f.u.